This record from the Alexandria database describes a relaxed structure of TbGdNi. The functional is GGA-PBE.

Unit cell a=6.717 b=6.717 c=6.717 alpha=150.43 beta=150.43 gamma=42.31
Positions (direct):
Tb (0.000, 0.000, 0.000)
Gd (0.739, 0.739, 0.000)
Ni (0.373, 0.373, 0.000)

Summary:
Crystal system ... tetragonal
Energy of formation ... -0.219 eV/atom
ΔE to the lowest computed polymorph ... 0.000 eV per atom
Total DFT energy (no corrections) ... -25.149 eV per cell

This record from the Alexandria database describes a relaxed structure of Nd3Cu5Se12. The functional is GGA-PBE.

Unit cell a=13.563 b=13.563 c=13.563 alpha=109.47 beta=109.47 gamma=109.47
Positions (direct):
Nd (0.125, 0.250, 0.375)
Nd (0.125, 0.375, 0.750)
Nd (0.250, 0.375, 0.125)
Nd (0.250, 0.875, 0.625)
Nd (0.375, 0.125, 0.250)
Nd (0.375, 0.750, 0.125)
Nd (0.625, 0.250, 0.875)
Nd (0.625, 0.875, 0.750)
Nd (0.750, 0.125, 0.375)
Nd (0.750, 0.625, 0.875)
Nd (0.875, 0.625, 0.250)
Nd (0.875, 0.750, 0.625)
Cu (0.000, 0.000, 0.000)
Cu (0.000, 0.000, 0.500)
Cu (0.000, 0.500, 0.000)
Cu (0.000, 0.500, 0.500)
Cu (0.125, 0.750, 0.875)
Cu (0.125, 0.875, 0.250)
Cu (0.250, 0.125, 0.875)
Cu (0.250, 0.625, 0.375)
Cu (0.375, 0.250, 0.625)
Cu (0.375, 0.625, 0.750)
Cu (0.500, 0.000, 0.000)
Cu (0.500, 0.000, 0.500)
Cu (0.500, 0.500, 0.000)
Cu (0.500, 0.500, 0.500)
Cu (0.625, 0.375, 0.250)
Cu (0.625, 0.750, 0.375)
Cu (0.750, 0.375, 0.625)
Cu (0.750, 0.875, 0.125)
Cu (0.875, 0.125, 0.750)
Cu (0.875, 0.250, 0.125)
Se (0.028, 0.204, 0.119)
Se (0.028, 0.325, 0.909)
Se (0.085, 0.704, 0.675)
Se (0.085, 0.881, 0.409)
Se (0.091, 0.619, 0.415)
Se (0.091, 0.972, 0.675)
Se (0.119, 0.028, 0.204)
Se (0.119, 0.591, 0.915)
Se (0.175, 0.204, 0.585)
Se (0.175, 0.472, 0.591)
Se (0.204, 0.119, 0.028)
Se (0.204, 0.585, 0.175)
Se (0.296, 0.325, 0.915)
Se (0.296, 0.472, 0.381)
Se (0.325, 0.909, 0.028)
Se (0.325, 0.915, 0.296)
Se (0.381, 0.296, 0.472)
Se (0.381, 0.585, 0.909)
Se (0.409, 0.085, 0.881)
Se (0.409, 0.825, 0.528)
Se (0.415, 0.091, 0.619)
Se (0.415, 0.825, 0.796)
Se (0.472, 0.381, 0.296)
Se (0.472, 0.591, 0.175)
Se (0.528, 0.409, 0.825)
Se (0.528, 0.619, 0.704)
Se (0.585, 0.175, 0.204)
Se (0.585, 0.909, 0.381)
Se (0.591, 0.175, 0.472)
Se (0.591, 0.915, 0.119)
Se (0.619, 0.415, 0.091)
Se (0.619, 0.704, 0.528)
Se (0.675, 0.085, 0.704)
Se (0.675, 0.091, 0.972)
Se (0.704, 0.528, 0.619)
Se (0.704, 0.675, 0.085)
Se (0.796, 0.415, 0.825)
Se (0.796, 0.881, 0.972)
Se (0.825, 0.528, 0.409)
Se (0.825, 0.796, 0.415)
Se (0.881, 0.409, 0.085)
Se (0.881, 0.972, 0.796)
Se (0.909, 0.028, 0.325)
Se (0.909, 0.381, 0.585)
Se (0.915, 0.119, 0.591)
Se (0.915, 0.296, 0.325)
Se (0.972, 0.675, 0.091)
Se (0.972, 0.796, 0.881)

Summary:
Crystal system ... cubic
Total DFT energy (no corrections) ... -357.270 eV per cell
Formation energy from raw total energies ... -0.64 eV/atom